This record from Alexandria via LeMat-Bulk describes an optimized crystal structure of TmPu2Sc3Se6. The functional is PBE.

Cell: 3.9639 8.0111 8.9197 Å, 103.37 102.84 90.00°
Each line ends with the local moment (μB).
Atoms (fractional coordinates):
Tm1 0.5000 0.0000 0.0000  0.08
Pu1 0.8343 0.6674 0.6687  5.46
Pu2 0.1657 0.3326 0.3313  5.46
Sc1 0.5000 0.5000 0.0000  0.06
Sc2 0.8316 0.1667 0.6632  0.02
Sc3 0.1684 0.8333 0.3368  0.02
Se1 0.3320 0.9302 0.6640  -0.02
Se2 0.6626 0.5937 0.3252  -0.04
Se3 0.6680 0.0698 0.3360  -0.02
Se4 0.9942 0.2531 0.9885  -0.01
Se5 0.0058 0.7469 0.0115  -0.01
Se6 0.3374 0.4063 0.6748  -0.04

Summary:
ρ in g cm⁻³: 7.83
Fermi-level density of states in states/eV/f.u.: 19.292
Space group: C2/m (12)
Magnetic moment in μB per formula unit: 11.745
DFT total energy in eV/atom: -7.685
Formation energy from raw total energies in meV per atom: -1599

This record from Alexandria via LeMat-Bulk describes an optimized crystal structure of TmPu3Sc2Se6. The functional is PBE.

Cell: 4.0181 8.0801 9.0183 Å, 102.94 102.87 90.00°
Each line ends with the local moment (μB).
Atoms (fractional coordinates):
Tm1 0.5000 0.0000 0.0000  0.02
Pu1 0.5000 0.5000 0.0000  -5.39
Pu2 0.8343 0.1665 0.6685  5.43
Pu3 0.1657 0.8335 0.3315  5.43
Sc1 0.8324 0.6617 0.6649  0.01
Sc2 0.1676 0.3383 0.3351  0.01
Se1 0.3345 0.9031 0.6690  -0.05
Se2 0.6712 0.5740 0.3424  -0.01
Se3 0.6655 0.0969 0.3310  -0.05
Se4 0.0059 0.2466 0.0118  0.02
Se5 0.9941 0.7534 0.9882  0.02
Se6 0.3288 0.4260 0.6576  -0.01

Summary:
ρ in g cm⁻³: 8.75
Fermi-level density of states in states/eV/f.u.: 27.814
Space group: C2/m (12)
Magnetic moment in μB per formula unit: 5.756
DFT total energy in eV/atom: -8.341
Formation energy from raw total energies in meV per atom: -1587

This record from Alexandria via LeMat-Bulk describes an optimized crystal structure of Y2Pu3ScSe6. The functional is PBE.

Cell: 4.0603 8.2040 9.1510 Å, 103.79 102.82 90.00°
Each line ends with the local moment (μB).
Atoms (fractional coordinates):
Y1 0.8345 0.6678 0.6689  0.04
Y2 0.1655 0.3322 0.3311  0.04
Pu1 0.5000 0.5000 0.0000  5.51
Pu2 0.8315 0.1653 0.6629  5.48
Pu3 0.1685 0.8347 0.3371  5.48
Sc1 0.5000 0.0000 0.0000  0.06
Se1 0.3390 0.9169 0.6781  -0.04
Se2 0.6679 0.5812 0.3357  -0.04
Se3 0.6610 0.0831 0.3219  -0.04
Se4 0.9996 0.2364 0.9991  -0.04
Se5 0.0004 0.7636 0.0009  -0.04
Se6 0.3321 0.4188 0.6643  -0.04

Summary:
ρ in g cm⁻³: 8.23
Fermi-level density of states in states/eV/f.u.: 27.069
Space group: C2/m (12)
Magnetic moment in μB per formula unit: 17.606
DFT total energy in eV/atom: -8.569
Formation energy from raw total energies in meV per atom: -1638

This record from Alexandria via LeMat-Bulk describes an optimized crystal structure of Y2PuSc3Se6. The functional is PBE.

Cell: 3.9670 8.0124 8.9291 Å, 103.21 102.83 90.00°
Each line ends with the local moment (μB).
Atoms (fractional coordinates):
Y1 0.8362 0.6701 0.6723  0.04
Y2 0.1638 0.3299 0.3277  0.04
Pu1 0.5000 0.0000 0.0000  5.46
Sc1 0.5000 0.5000 0.0000  -0.02
Sc2 0.8351 0.1624 0.6701  0.03
Sc3 0.1649 0.8376 0.3299  0.03
Se1 0.3279 0.9232 0.6558  -0.01
Se2 0.6646 0.5935 0.3292  0.01
Se3 0.6721 0.0768 0.3442  -0.01
Se4 0.9959 0.2617 0.9917  -0.03
Se5 0.0041 0.7383 0.0083  -0.03
Se6 0.3354 0.4065 0.6708  0.01

Summary:
ρ in g cm⁻³: 6.36
Fermi-level density of states in states/eV/f.u.: 9.620
Space group: C2/m (12)
Magnetic moment in μB per formula unit: 6.002
DFT total energy in eV/atom: -7.248
Formation energy from raw total energies in meV per atom: -1652